# 1
DFT (PBE) results for a geometry-optimized Sc2TiPd4 structure.

Unit cell a=4.510 b=4.510 c=7.285 alpha=82.72 beta=82.72 gamma=62.30
Element x y z (fractional)
Sc  0.713  0.713  0.707
Sc  0.287  0.287  0.293
Ti  0.000  0.000  0.000
Pd  0.923  0.923  0.351
Pd  0.077  0.077  0.649
Pd  0.651  0.651  0.099
Pd  0.349  0.349  0.901

**Mass density**: 7.2 g/cm3
**Fermi-level density of states**: 0.672 states/eV/atom
**Calculated volume**: 129.7 Å³/cell
**Total energy**: -6.561 eV per atom
**SG**: C2/m, No. 12

# 2
DFT (PBE) results for a geometry-optimized CePm3Dy3 structure.

Unit cell a=8.126 b=8.126 c=7.195 alpha=90.04 beta=90.04 gamma=89.49
Site moments in Bohr magnetons follow the coordinates.
Element x y z (fractional)
Ce  0.292  0.292  0.000  0.84
Ce  0.708  0.708  0.000  0.84
Pm  0.000  0.000  0.750  0.01
Pm  0.498  0.000  0.247  0.04
Pm  0.000  0.498  0.247  0.04
Pm  0.502  0.000  0.753  0.04
Pm  0.000  0.502  0.753  0.04
Pm  0.000  0.000  0.250  0.01
Dy  0.281  0.281  0.501  0.03
Dy  0.290  0.710  0.500  0.00
Dy  0.710  0.290  0.500  0.00
Dy  0.282  0.718  0.000  0.05
Dy  0.718  0.282  0.000  0.05
Dy  0.719  0.719  0.499  0.03

**Mass density**: 7.4 g/cm3
**Fermi-level density of states**: 2.254 states/eV/atom
**Calculated volume**: 475.1 Å³/cell
**Total energy**: -4.634 eV per atom
**SG**: C2/m, No. 12

# 3
DFT (PBE) results for a geometry-optimized Tb6Nd12Er structure.

Unit cell a=9.280 b=9.280 c=9.280 alpha=106.68 beta=106.68 gamma=106.68
Element x y z (fractional)
Tb  0.081  0.192  0.450
Tb  0.808  0.550  0.919
Tb  0.550  0.919  0.808
Tb  0.919  0.808  0.550
Tb  0.192  0.450  0.081
Tb  0.450  0.081  0.192
Nd  0.486  0.192  0.584
Nd  0.192  0.584  0.486
Nd  0.584  0.486  0.192
Nd  0.514  0.808  0.416
Nd  0.808  0.416  0.514
Nd  0.416  0.514  0.808
Nd  0.279  0.129  0.825
Nd  0.175  0.721  0.871
Nd  0.871  0.175  0.721
Nd  0.721  0.871  0.175
Nd  0.825  0.279  0.129
Nd  0.129  0.825  0.279
Er  0.000  0.000  0.000

**Mass density**: 7.1 g/cm3
**Fermi-level density of states**: 1.588 states/eV/atom
**Distance to the lowest polymorph of the same formula**: 0.101 eV/atom
**Calculated volume**: 671.1 Å³/cell
**SG**: R-3, No. 148

# 4
DFT (PBE) results for a geometry-optimized Pm2TmSi2 structure.

Unit cell a=3.960 b=5.860 c=12.499 alpha=114.86 beta=90.00 gamma=90.00
Element x y z (fractional)
Pm  0.250  0.769  0.870
Pm  0.750  0.231  0.130
Pm  0.250  0.312  0.563
Pm  0.750  0.688  0.437
Tm  0.250  0.818  0.215
Tm  0.750  0.182  0.785
Si  0.250  0.873  0.629
Si  0.750  0.127  0.371
Si  0.250  0.357  0.978
Si  0.750  0.643  0.022

**Mass density**: 6.5 g/cm3
**Formation energy (no corrections)**: -0.51 eV/atom
**Fermi-level density of states**: 0.966 states/eV/atom
**Distance to the lowest polymorph of the same formula**: 0.204 eV/atom
**Calculated volume**: 263.2 Å³/cell
**SG**: P2_1/m, No. 11

# 5
DFT (PBE) results for a geometry-optimized TaCuRh2Au structure.

Unit cell a=4.501 b=4.490 c=4.501 alpha=90.00 beta=90.00 gamma=90.00
Element x y z (fractional)
Rh  0.000  0.000  0.500
Rh  0.500  0.000  0.000
Au  0.500  0.500  0.500
Cu  0.000  0.000  0.000
Ta  0.000  0.500  0.000

**Mass density**: 11.8 g/cm3
**Fermi-level density of states**: 0.788 states/eV/atom
**Calculated volume**: 90.9 Å³/cell
**Total energy**: -5.775 eV per atom
**SG**: P4/mmm, No. 123

# 6
DFT (PBE) results for a geometry-optimized NaIrF2 structure.

Unit cell a=4.228 b=4.228 c=4.228 alpha=60.00 beta=60.00 gamma=60.00
Site moments in Bohr magnetons follow the coordinates.
Element x y z (fractional)
Na  0.000  0.000  0.000  0.00
Ir  0.500  0.500  0.500  1.98
F  0.250  0.250  0.250  0.11
F  0.750  0.750  0.750  0.11

**Mass density**: 7.9 g/cm3
**Formation energy (no corrections)**: -0.48 eV/atom
**Fermi-level density of states**: 0.521 states/eV/atom
**Distance to the lowest polymorph of the same formula**: 1.029 eV/atom
**Calculated volume**: 53.4 Å³/cell
**SG**: Fm-3m, No. 225

# 7
DFT (PBE) results for a geometry-optimized YHoHg6 structure.

Unit cell a=4.507 b=4.507 c=9.618 alpha=90.00 beta=90.00 gamma=90.00
Element x y z (fractional)
Y  0.000  0.000  0.500
Ho  0.000  0.000  0.000
Hg  0.500  0.500  0.000
Hg  0.500  0.500  0.500
Hg  0.500  0.000  0.249
Hg  0.500  0.000  0.751
Hg  0.000  0.500  0.249
Hg  0.000  0.500  0.751

**Mass density**: 12.4 g/cm3
**Fermi-level density of states**: 0.575 states/eV/atom
**Distance to the lowest polymorph of the same formula**: 0.027 eV/atom
**Calculated volume**: 195.4 Å³/cell
**SG**: P4/mmm, No. 123

# 8
DFT (PBE) results for a geometry-optimized Li2MgTc structure.

Unit cell a=5.302 b=5.302 c=2.558 alpha=90.00 beta=90.00 gamma=118.82
Element x y z (fractional)
Li  0.000  0.000  0.000
Li  0.500  0.500  0.000
Mg  0.500  0.000  0.500
Tc  0.000  0.500  0.500

**Mass density**: 3.6 g/cm3
**Fermi-level density of states**: 0.535 states/eV/atom
**Calculated volume**: 63.0 Å³/cell
**Total energy**: -3.656 eV per atom
**SG**: Cmmm, No. 65

# 9
DFT (PBE) results for a geometry-optimized LiScBRu2 structure.

Unit cell a=4.148 b=4.148 c=3.984 alpha=90.00 beta=90.00 gamma=90.00
Element x y z (fractional)
Sc  0.500  0.500  0.500
Ru  0.000  0.500  0.000
Ru  0.500  0.000  0.000
B  0.000  0.000  0.000
Li  0.000  0.000  0.500

**Mass density**: 6.4 g/cm3
**Fermi-level density of states**: 1.019 states/eV/atom
**Calculated volume**: 68.6 Å³/cell
**Total energy**: -6.954 eV per atom
**SG**: P4/mmm, No. 123

# 10
DFT (PBE) results for a geometry-optimized NaCa2InNi structure.

Unit cell a=5.460 b=5.460 c=5.016 alpha=90.00 beta=90.00 gamma=90.00
Element x y z (fractional)
Ni  0.000  0.000  0.000
Ca  0.000  0.500  0.000
Ca  0.500  0.000  0.000
Na  0.500  0.500  0.500
In  0.000  0.000  0.500

**Mass density**: 3.1 g/cm3
**Fermi-level density of states**: 0.779 states/eV/atom
**Calculated volume**: 149.5 Å³/cell
**Total energy**: -2.913 eV per atom
**SG**: P4/mmm, No. 123

# 11
DFT (PBE) results for a geometry-optimized TlSn3Bi structure.

Unit cell a=5.685 b=5.685 c=5.685 alpha=90.00 beta=90.00 gamma=90.00
Element x y z (fractional)
Tl  0.000  0.000  0.000
Bi  0.500  0.500  0.500
Sn  0.000  0.500  0.000
Sn  0.000  0.000  0.500
Sn  0.500  0.000  0.000

**Mass density**: 7.0 g/cm3
**Fermi-level density of states**: 0.667 states/eV/atom
**Distance to the lowest polymorph of the same formula**: 0.584 eV/atom
**Calculated volume**: 183.8 Å³/cell
**SG**: Pm-3m, No. 221

# 12
DFT (PBE) results for a geometry-optimized Ce3Sb2F2 structure.

Unit cell a=8.179 b=7.382 c=6.678 alpha=90.00 beta=64.14 gamma=90.00
Site moments in Bohr magnetons follow the coordinates.
Element x y z (fractional)
Ce  0.500  0.500  0.000  1.01
Ce  0.000  0.000  0.000  1.01
Ce  0.747  0.071  0.646  1.19
Ce  0.753  0.571  0.354  1.19
Ce  0.247  0.429  0.646  1.19
Ce  0.253  0.929  0.354  1.19
Sb  0.891  0.669  0.793  -0.04
Sb  0.391  0.831  0.793  -0.04
Sb  0.609  0.169  0.207  -0.04
Sb  0.109  0.331  0.207  -0.04
F  0.576  0.353  0.658  -0.01
F  0.924  0.853  0.342  -0.01
F  0.076  0.147  0.658  -0.01
F  0.424  0.647  0.342  -0.01

**Mass density**: 6.4 g/cm3
**Formation energy (no corrections)**: -1.91 eV/atom
**Fermi-level density of states**: 2.391 states/eV/atom
**Calculated volume**: 362.9 Å³/cell
**SG**: P2_1/c, No. 14

# 13
DFT (PBE) results for a geometry-optimized NpTiRh6 structure.

Unit cell a=3.935 b=3.935 c=7.888 alpha=90.00 beta=90.00 gamma=90.00
Site moments in Bohr magnetons follow the coordinates.
Element x y z (fractional)
Np  0.000  0.000  0.000  2.27
Ti  0.000  0.000  0.500  -0.04
Rh  0.500  0.500  0.000  -0.23
Rh  0.500  0.500  0.500  -0.05
Rh  0.500  0.000  0.259  -0.16
Rh  0.500  0.000  0.741  -0.16
Rh  0.000  0.500  0.259  -0.16
Rh  0.000  0.500  0.741  -0.16

**Mass density**: 12.3 g/cm3
**Fermi-level density of states**: 1.482 states/eV/atom
**Calculated volume**: 122.1 Å³/cell
**Total energy**: -8.622 eV per atom
**SG**: P4/mmm, No. 123

# 14
DFT (PBE) results for a geometry-optimized Ca2NdTcN4 structure.

Unit cell a=3.434 b=6.175 c=12.128 alpha=90.00 beta=90.00 gamma=106.14
Element x y z (fractional)
Ca  0.374  0.748  0.537
Ca  0.626  0.252  0.037
Ca  0.626  0.252  0.463
Ca  0.374  0.748  0.963
Nd  0.076  0.151  0.750
Nd  0.924  0.849  0.250
Tc  0.820  0.640  0.750
Tc  0.180  0.360  0.250
N  0.270  0.540  0.130
N  0.730  0.460  0.630
N  0.730  0.460  0.870
N  0.270  0.540  0.370
N  0.000  0.000  0.500
N  0.000  0.000  0.000
N  0.418  0.836  0.750
N  0.582  0.164  0.250

**Mass density**: 5.1 g/cm3
**Formation energy (no corrections)**: -0.70 eV/atom
**Fermi-level density of states**: 0.270 states/eV/atom
**Calculated volume**: 247.0 Å³/cell
**SG**: Cmcm, No. 63

# 15
DFT (PBE) results for a geometry-optimized Li2SmScPd4 structure.

Unit cell a=4.466 b=4.466 c=8.618 alpha=74.98 beta=74.98 gamma=60.00
Element x y z (fractional)
Li  0.758  0.758  0.727
Li  0.242  0.242  0.273
Sm  0.000  0.000  0.000
Sc  0.500  0.500  0.500
Pd  0.391  0.391  0.826
Pd  0.874  0.874  0.377
Pd  0.126  0.126  0.623
Pd  0.609  0.609  0.174

**Mass density**: 7.4 g/cm3
**Fermi-level density of states**: 0.434 states/eV/atom
**Calculated volume**: 142.0 Å³/cell
**Total energy**: -5.122 eV per atom
**SG**: R-3m, No. 166

# 16
DFT (PBE) results for a geometry-optimized CePI structure.

Unit cell a=4.138 b=4.878 c=11.167 alpha=97.83 beta=90.04 gamma=115.09
Site moments in Bohr magnetons follow the coordinates.
Element x y z (fractional)
Ce  0.862  0.725  0.859  0.75
Ce  0.138  0.275  0.141  0.75
P  0.420  0.839  0.062  -0.02
P  0.580  0.161  0.938  -0.02
I  0.830  0.659  0.327  -0.02
I  0.170  0.341  0.673  -0.02

**Mass density**: 4.9 g/cm3
**Formation energy (no corrections)**: -1.22 eV/atom
**Fermi-level density of states**: 1.626 states/eV/atom
**Distance to the lowest polymorph of the same formula**: 0.000 eV/atom
**Calculated volume**: 201.8 Å³/cell
**SG**: C2/m, No. 12

# 17
DFT (PBE) results for a geometry-optimized Rb2PaAl2O7 structure.

Unit cell a=3.813 b=3.813 c=11.360 alpha=80.36 beta=80.35 gamma=90.00
Site moments in Bohr magnetons follow the coordinates.
Element x y z (fractional)
Rb  0.811  0.811  0.379  0.02
Rb  0.189  0.189  0.621  0.02
Pa  0.000  0.000  0.000  0.00
Al  0.586  0.586  0.828  0.00
Al  0.414  0.414  0.172  0.00
O  0.500  0.500  0.000  0.03
O  0.333  0.333  0.335  0.34
O  0.667  0.667  0.665  0.34
O  0.930  0.430  0.140  0.03
O  0.430  0.930  0.140  0.03
O  0.570  0.070  0.860  0.03
O  0.070  0.570  0.860  0.03

**Mass density**: 5.9 g/cm3
**Formation energy (no corrections)**: -2.49 eV/atom
**Fermi-level density of states**: 0.548 states/eV/atom
**Calculated volume**: 160.5 Å³/cell
**SG**: I4/mmm, No. 139

# 18
DFT (PBE) results for a geometry-optimized SiGeI2 structure.

Unit cell a=5.298 b=5.298 c=5.298 alpha=60.00 beta=60.00 gamma=60.00
Element x y z (fractional)
I  0.250  0.250  0.250
I  0.750  0.750  0.750
Ge  0.500  0.500  0.500
Si  0.000  0.000  0.000

**Mass density**: 5.6 g/cm3
**Formation energy (no corrections)**: 0.59 eV/atom
**Fermi-level density of states**: 0.653 states/eV/atom
**Distance to the lowest polymorph of the same formula**: 0.036 eV/atom
**Calculated volume**: 105.1 Å³/cell
**SG**: Fm-3m, No. 225

# 19
DFT (PBE) results for a geometry-optimized CeHfTi2 structure.

Unit cell a=4.185 b=4.481 c=4.481 alpha=90.00 beta=90.00 gamma=90.00
Element x y z (fractional)
Hf  0.500  0.000  0.000
Ce  0.500  0.500  0.500
Ti  0.000  0.000  0.500
Ti  0.000  0.500  0.000

**Mass density**: 8.2 g/cm3
**Fermi-level density of states**: 1.765 states/eV/atom
**Distance to the lowest polymorph of the same formula**: 0.070 eV/atom
**Calculated volume**: 84.0 Å³/cell
**SG**: P4/mmm, No. 123